1.
A plane-wave DFT calculation with PBE-GGA was carried out for a relaxed structure of BaPdAu2.

Lattice parameters (Å, degrees): 5.776 5.776 10.125 73.43 73.43 60.00
Element x y z (fractional)
Au: 0.081 0.580 0.758
Au: 0.919 0.420 0.242
Au: 0.580 0.580 0.758
Ba: 0.858 0.858 0.425
Pd: 0.332 0.332 0.003
Pd: 0.668 0.668 0.997
Ba: 0.142 0.142 0.575
Pd: 0.500 0.500 0.500
Au: 0.580 0.081 0.758
Ba: 0.000 0.000 0.000
Au: 0.420 0.919 0.242
Au: 0.420 0.420 0.242

Values from the calculation:
The calculation puts the formation energy at -12.0 kcal/mol of atoms. The magnetic moment is 0.00 μB/f.u. For the density of states at the Fermi level, the calculation gives 0.487 states/eV per atom. The calculation puts the relative energy among the computed polymorphs at 0 meV per atom. As for the space-group type: R-3m (166). Its total energy is -15.752 eV/f.u.



2.
A plane-wave DFT calculation with PBE-GGA was carried out for a relaxed structure of Ba2PdAu3.

Lattice parameters (Å, degrees): 4.954 6.107 7.042 115.70 110.59 90.00
Element x y z (fractional)
Au: 0.618 0.618 0.237
Au: 0.000 0.000 0.000
Au: 0.382 0.382 0.763
Ba: 0.310 0.810 0.620
Ba: 0.690 0.190 0.380
Pd: 0.000 0.500 0.000

Values from the calculation:
The calculation puts the formation energy at -10.6 kcal/mol of atoms. The magnetic moment is 0.00 μB/f.u. For the density of states at the Fermi level, the calculation gives 0.558 states/eV per atom. The calculation puts the relative energy among the computed polymorphs at 225 meV per atom. As for the space-group type: Immm (71). Its total energy is -21.621 eV/f.u.



3.
A plane-wave DFT calculation with PBE-GGA was carried out for a relaxed structure of Ba5PdAu2.

Lattice parameters (Å, degrees): 5.884 11.110 21.612 90.00 90.00 90.00
Element x y z (fractional)
Ba: 0.250 0.345 0.864
Ba: 0.250 0.358 0.489
Ba: 0.250 0.858 0.011
Ba: 0.750 0.655 0.136
Au: 0.250 0.156 0.288
Ba: 0.750 0.060 0.808
Au: 0.250 0.053 0.897
Au: 0.250 0.553 0.603
Au: 0.750 0.947 0.103
Au: 0.250 0.656 0.212
Pd: 0.750 0.893 0.441
Au: 0.750 0.447 0.397
Ba: 0.250 0.278 0.680
Ba: 0.750 0.057 0.570
Ba: 0.750 0.642 0.511
Pd: 0.250 0.607 0.941
Ba: 0.250 0.440 0.308
Ba: 0.250 0.943 0.430
Au: 0.750 0.344 0.788
Ba: 0.750 0.722 0.320
Ba: 0.750 0.222 0.180
Ba: 0.250 0.778 0.820
Ba: 0.250 0.845 0.636
Ba: 0.750 0.142 0.989
Ba: 0.250 0.443 0.070
Pd: 0.750 0.393 0.059
Ba: 0.750 0.557 0.930
Ba: 0.750 0.155 0.364
Ba: 0.250 0.940 0.192
Au: 0.750 0.844 0.712
Ba: 0.750 0.560 0.692
Pd: 0.250 0.107 0.559

Values from the calculation:
The calculation puts the formation energy at -10.9 kcal/mol of atoms. The magnetic moment is 0.00 μB/f.u. For the density of states at the Fermi level, the calculation gives 0.571 states/eV per atom. As for the space-group type: Pnma (62). Its total energy is -25.145 eV/f.u.



4.
A plane-wave DFT calculation with PBE-GGA was carried out for a relaxed structure of Ba6PdAu3.

Lattice parameters (Å, degrees): 8.002 8.734 11.973 90.00 89.05 90.00
Element x y z (fractional)
Ba: 0.842 0.947 0.246
Au: 0.552 0.890 0.755
Ba: 0.181 0.324 0.426
Au: 0.500 0.500 0.000
Ba: 0.158 0.053 0.754
Au: 0.448 0.110 0.245
Ba: 0.330 0.815 0.422
Pd: 0.500 0.500 0.500
Ba: 0.819 0.676 0.574
Au: 0.000 0.000 0.500
Ba: 0.319 0.824 0.074
Ba: 0.830 0.685 0.922
Ba: 0.342 0.553 0.746
Ba: 0.170 0.315 0.078
Ba: 0.681 0.176 0.926
Au: 0.948 0.390 0.745
Ba: 0.670 0.185 0.578
Pd: 0.000 0.000 0.000
Ba: 0.658 0.447 0.254
Au: 0.052 0.610 0.255

Values from the calculation:
The calculation puts the formation energy at -12.9 kcal/mol of atoms. The magnetic moment is 0.00 μB/f.u. For the density of states at the Fermi level, the calculation gives 0.760 states/eV per atom. As for the space-group type: P2_1/c (14). Its total energy is -32.151 eV/f.u.



5.
A plane-wave DFT calculation with PBE-GGA was carried out for a relaxed structure of Ba8Pd3Au.

Lattice parameters (Å, degrees): 9.414 9.400 9.247 120.81 90.00 120.05
Element x y z (fractional)
Au: 0.000 0.000 0.000
Ba: 0.249 0.499 0.233
Ba: 0.263 0.014 0.767
Pd: 0.500 0.000 0.000
Ba: 0.255 0.510 0.767
Ba: 0.751 0.014 0.767
Ba: 0.249 0.986 0.233
Ba: 0.751 0.501 0.767
Pd: 0.000 0.500 0.000
Ba: 0.737 0.986 0.233
Ba: 0.745 0.490 0.233
Pd: 0.500 0.500 0.000

Values from the calculation:
The calculation puts the formation energy at -10.3 kcal/mol of atoms. The magnetic moment is 0.00 μB/f.u. For the density of states at the Fermi level, the calculation gives 0.623 states/eV per atom. As for the space-group type: C2/m (12). Its total energy is -39.595 eV/f.u.



6.
A plane-wave DFT calculation with PBE-GGA was carried out for a relaxed structure of Ba6PdAu.

Lattice parameters (Å, degrees): 7.973 7.973 15.266 90.00 90.00 120.00
Element x y z (fractional)
Ba: 0.002 0.327 0.123
Ba: 0.675 0.002 0.877
Au: 0.333 0.667 0.250
Au: 0.667 0.333 0.750
Ba: 0.327 0.002 0.623
Ba: 0.325 0.998 0.123
Ba: 0.675 0.673 0.623
Ba: 0.998 0.325 0.623
Ba: 0.673 0.675 0.123
Ba: 0.673 0.998 0.377
Pd: 0.000 0.000 0.500
Ba: 0.998 0.673 0.877
Ba: 0.002 0.675 0.377
Ba: 0.327 0.325 0.877
Pd: 0.000 0.000 0.000
Ba: 0.325 0.327 0.377

Values from the calculation:
The calculation puts the formation energy at -8.4 kcal/mol of atoms. The magnetic moment is 0.00 μB/f.u. For the density of states at the Fermi level, the calculation gives 0.725 states/eV per atom. The calculation puts the relative energy among the computed polymorphs at 0 meV per atom. As for the space-group type: P-31c (163). Its total energy is -22.933 eV/f.u.